[1]
The following is a DFT calculation (PBE-GGA) of crystalline YLuPb2 at its relaxed geometry.

Cell: 5.5057 5.5057 5.5057 Å, 60.00 60.00 60.00°
Sites, in units of the cell vectors:
Lu  0.2500  0.2500  0.2500
Pb  0.0000  0.0000  0.0000
Pb  0.7500  0.7500  0.7500
Y  0.5000  0.5000  0.5000

- Crystal system: cubic
- Size of the total moment: 0.12 μB/cell
- Space-group type: F-43m


[2]
The following is a DFT calculation (PBE-GGA) of crystalline Li6Cu at its relaxed geometry.

Cell: 6.2381 6.3034 6.3252 Å, 72.13 72.34 73.21°
Sites, in units of the cell vectors:
Cu  0.1056  0.6635  0.4658
Cu  0.8944  0.3365  0.5342
Li  0.3820  0.8167  0.0498
Li  0.1722  0.4598  0.1346
Li  0.9643  0.1026  0.2027
Li  0.7715  0.7395  0.2613
Li  0.5429  0.3992  0.3286
Li  0.3110  0.0254  0.3968
Li  0.6890  0.9746  0.6032
Li  0.4571  0.6008  0.6714
Li  0.2285  0.2605  0.7387
Li  0.0357  0.8974  0.7973
Li  0.8278  0.5402  0.8654
Li  0.6180  0.1833  0.9502

- Crystal system: triclinic
- Space-group type: P-1


The evaluated raw total energy for the records listed, in turn: -4.57; -2.15 eV per atom.